# 1
## ZrNiOs3 (PBE-GGA)

Data for a relaxed structure of ZrNiOs3.

## Properties
D(E_F)	9.356	states/eV/f.u.
excess energy over the best structure of this formula in the dataset	0	meV per atom
total moment	2.2	μB per formula unit
symmetry	Pm-3m (221)

Unit cell a=4.4426 b=4.4426 c=4.4426 alpha=90.00 beta=90.00 gamma=90.00
Last column: magnetic moment on the atom in μB.
Element x y z (fractional)
Ni1 0.0000 0.0000 0.0000  0.82
Os1 0.0000 0.0000 0.5000  0.52
Os2 0.0000 0.5000 0.0000  0.36
Os3 0.5000 0.0000 0.0000  0.23
Zr1 0.5000 0.5000 0.5000  0.06


# 2
## ZrNiOs2 (PBE-GGA)

Data for a relaxed structure of ZrNiOs2.

## Properties
D(E_F)	4.814	states/eV/f.u.
excess energy over the best structure of this formula in the dataset	0	meV per atom
total moment	0.0	μB per formula unit
symmetry	P4/mmm (123)

Unit cell a=3.8849 b=3.8849 c=4.0087 alpha=90.00 beta=90.00 gamma=89.99
Element x y z (fractional)
Zr1 0.5000 0.0000 0.5000
Ni1 0.0000 0.5000 0.5000
Os1 0.0000 0.0000 0.0000
Os2 0.5000 0.5000 0.0000


# 3
## ZrNiOs (PBE-GGA)

Data for a relaxed structure of ZrNiOs.

## Properties
D(E_F)	2.903	states/eV/f.u.
excess energy over the best structure of this formula in the dataset	268	meV per atom
total moment	0.0	μB per formula unit
symmetry	Cm (8)

Unit cell a=4.4703 b=5.0352 c=9.0015 alpha=90.00 beta=92.80 gamma=90.00
Element x y z (fractional)
Os1 0.5926 0.0000 0.9473
Zr1 0.1141 0.5000 0.6482
Ni1 0.5994 0.7394 0.1990
Ni2 0.5994 0.2394 0.6990
Zr2 0.8445 0.5000 0.9649
Os2 0.0932 0.5000 0.3057
Zr3 0.8445 0.0000 0.4649
Os3 0.0932 0.0000 0.8057
Ni3 0.5994 0.7606 0.6990
Ni4 0.5994 0.2606 0.1990
Os4 0.5926 0.5000 0.4473
Zr4 0.1141 0.0000 0.1482


- Which value of excess energy over the best structure of this formula in the dataset does entry 1 give?
  0 meV per atom


- Which formula does entry 3 have?
  ZrNiOs


- Among the records above, which one has the highest D(E_F)?
  ZrNiOs3


- D(E_F) of number 3 (ZrNiOs)?
  2.903 states/eV/f.u.